No. 1
BaTl2AgPd PBE relaxed; space-group type = P4/mmm; uncorrected energy = -0.11469 hartree per atom; calculated formation energy = -0.181 eV per atom
1.0
5.2950 0.0000 0.0000
0.0000 5.2950 0.0000
0.0000 0.0000 5.4147
Ba Tl Ag Pd
1 2 1 1
Cartesian
0.0000 0.0000 0.0000 Ba
0.0000 2.6475 2.7074 Tl
2.6475 0.0000 2.7074 Tl
2.6475 2.6475 0.0000 Ag
2.6475 2.6475 2.7074 Pd

No. 2
Ba2TlAgPd PBE relaxed; space-group type = P4/mmm; energy relative to the lowest polymorph listed for this composition = 0.051 eV per atom; uncorrected energy = -0.11162 hartree per atom; calculated formation energy = -0.186 eV per atom
1.0
6.0887 0.0000 0.0000
0.0000 6.0887 0.0000
0.0000 0.0000 5.1998
Ba Tl Ag Pd
2 1 1 1
Cartesian
0.0000 3.0443 0.0000 Ba
3.0443 0.0000 0.0000 Ba
0.0000 0.0000 2.5999 Tl
3.0443 3.0443 2.5999 Ag
3.0443 3.0443 0.0000 Pd

No. 3
BaTl2AgPd2 PBE relaxed; space-group type = I4/mmm; uncorrected energy = -0.12843 hartree per atom; calculated formation energy = -0.179 eV per atom
1.0
5.3800 0.0000 0.0000
0.0000 5.3800 0.0000
0.0000 0.0000 12.0214
Ba Tl Ag Pd
2 4 2 4
Cartesian
0.0000 0.0000 0.0000 Ba
2.6900 2.6900 6.0107 Ba
0.0000 2.6900 3.0054 Tl
0.0000 2.6900 9.0161 Tl
2.6900 0.0000 3.0054 Tl
2.6900 0.0000 9.0161 Tl
0.0000 0.0000 6.0107 Ag
2.6900 2.6900 0.0000 Ag
0.0000 0.0000 3.3383 Pd
0.0000 0.0000 8.6831 Pd
2.6900 2.6900 2.6724 Pd
2.6900 2.6900 9.3490 Pd

No. 4
Ba2TlAgPd PBE relaxed; space-group type = P4/mmm; energy relative to the lowest polymorph listed for this composition = 0.000 eV per atom; uncorrected energy = -0.11351 hartree per atom; calculated formation energy = -0.237 eV per atom
1.0
6.1077 0.0000 0.0000
0.0000 6.1077 0.0000
0.0000 0.0000 5.2553
Ba Tl Ag Pd
2 1 1 1
Cartesian
0.0000 3.0538 0.0000 Ba
3.0538 0.0000 0.0000 Ba
0.0000 0.0000 2.6276 Tl
3.0538 3.0538 2.6276 Ag
0.0000 0.0000 0.0000 Pd

No. 5
BaTlAg2Pd2 PBE relaxed; space-group type = P4/mmm; uncorrected energy = -0.12251 hartree per atom; calculated formation energy = 0.063 eV per atom
1.0
5.1324 0.0000 0.0000
0.0000 5.1324 0.0000
0.0000 0.0000 6.3826
Ba Tl Ag Pd
1 1 2 2
Cartesian
0.0000 0.0000 0.0000 Ba
0.0000 0.0000 3.1913 Tl
2.5662 2.5662 1.7346 Ag
2.5662 2.5662 4.6481 Ag
0.0000 2.5662 3.1913 Pd
2.5662 0.0000 3.1913 Pd

No. 6
Ba2Tl3AgPd4 PBE relaxed; space-group type = P-4m2; uncorrected energy = -0.14098 hartree per atom; calculated formation energy = -0.380 eV per atom
1.0
4.9099 0.0000 0.0000
0.0000 4.9099 0.0000
0.0000 0.0000 10.7485
Ba Tl Ag Pd
2 3 1 4
Cartesian
0.0000 2.4549 2.6442 Ba
2.4549 0.0000 8.1043 Ba
0.0000 2.4549 9.4562 Tl
2.4549 0.0000 1.2923 Tl
2.4549 2.4549 5.3743 Tl
0.0000 0.0000 5.3743 Ag
0.0000 0.0000 0.0000 Pd
0.0000 2.4549 6.7249 Pd
2.4549 0.0000 4.0236 Pd
2.4549 2.4549 0.0000 Pd